Entry w
A plane-wave DFT calculation with PBE was carried out for Rb2LiOs2O6 after structural relaxation.

Summary:
DOS at the Fermi energy: 5.2 states/eV/f.u.
Space group: No. 148
Mass density: 6.48 g cm⁻³
Total moment: 1.04 μB/cell

Unit cell a=7.1487 b=7.1487 c=7.1487 alpha=45.24 beta=45.24 gamma=45.24
Site moments in Bohr magnetons follow the coordinates.
Sites, in units of the cell vectors:
Rb 0.1549 0.1549 0.1549  0.00
Rb 0.8451 0.8451 0.8451  0.00
Li 0.0000 0.0000 0.0000  0.00
Os 0.3346 0.3346 0.3346  0.37
Os 0.6654 0.6654 0.6654  0.37
O 0.5694 0.9496 0.3210  0.04
O 0.9496 0.3210 0.5694  0.04
O 0.3210 0.5694 0.9496  0.04
O 0.4306 0.0504 0.6790  0.04
O 0.6790 0.4306 0.0504  0.04
O 0.0504 0.6790 0.4306  0.04

Entry x
A plane-wave DFT calculation with PBE was carried out for Rb2LiOs2O6 after structural relaxation.

Summary:
DOS at the Fermi energy: 4.3 states/eV/f.u.
Space group: No. 146
Mass density: 4.56 g cm⁻³
Total moment: 0.00 μB/cell

Unit cell a=9.5580 b=9.5580 c=9.5580 alpha=33.59 beta=33.59 gamma=33.59
Sites, in units of the cell vectors:
Rb 0.0935 0.0935 0.0935
Rb 0.9104 0.9104 0.9104
Li 0.2501 0.2501 0.2501
Os 0.3363 0.3363 0.3363
Os 0.6659 0.6659 0.6659
O 0.5313 0.9644 0.3767
O 0.9644 0.3767 0.5313
O 0.3767 0.5313 0.9644
O 0.4457 0.0328 0.6386
O 0.6386 0.4457 0.0328
O 0.0328 0.6386 0.4457

Relative to the most stable one, in eV/atom, the structures come out at entry w 0.000; entry x 0.112.

Entry w
A plane-wave DFT calculation with PBE was carried out for Li2PO after structural relaxation.

Summary:
DOS at the Fermi energy: 2.9 states/eV/f.u.
Space group: No. 225
Mass density: 2.14 g cm⁻³
Total moment: 0.00 μB/cell

Unit cell a=4.0602 b=4.0602 c=4.0602 alpha=60.00 beta=60.00 gamma=60.00
Sites, in units of the cell vectors:
P 0.5000 0.5000 0.5000
O 0.0000 0.0000 0.0000
Li 0.2500 0.2500 0.2500
Li 0.7500 0.7500 0.7500

Entry x
A plane-wave DFT calculation with PBE was carried out for Li2PO after structural relaxation.

Summary:
DOS at the Fermi energy: 1.6 states/eV/f.u.
Space group: No. 122
Mass density: 2.15 g cm⁻³
Total moment: 0.00 μB/cell

Unit cell a=6.6880 b=6.6880 c=5.1769 alpha=49.76 beta=49.76 gamma=90.00
Sites, in units of the cell vectors:
P 0.0000 0.0000 0.0000
P 0.7500 0.2500 0.5000
O 0.5000 0.5000 0.0000
O 0.2500 0.7500 0.5000
Li 0.5107 0.1250 0.2500
Li 0.2393 0.6250 0.2500
Li 0.3750 0.4893 0.7500
Li 0.8750 0.7607 0.7500

Relative to the most stable one, in eV/atom, the structures come out at entry w 0.555; entry x 0.000.

Entry w
A plane-wave DFT calculation with PBE was carried out for Li3PO4 after structural relaxation.

Summary:
DOS at the Fermi energy: 0.0 states/eV/f.u.
Space group: No. 31
Mass density: 2.39 g cm⁻³
Total moment: 0.00 μB/cell

Unit cell a=4.9199 b=5.2999 c=6.1701 alpha=90.00 beta=90.00 gamma=90.00
Sites, in units of the cell vectors:
Li 0.9916 0.6730 0.2474
Li 0.4916 0.3270 0.2526
Li 0.4916 0.3270 0.7474
Li 0.9916 0.6730 0.7526
Li 0.9902 0.1550 0.5000
Li 0.4902 0.8450 0.0000
O 0.8931 0.3133 0.2073
O 0.3931 0.6867 0.2927
O 0.3931 0.6867 0.7073
O 0.8931 0.3133 0.7927
O 0.8977 0.8967 0.0000
O 0.3977 0.1033 0.5000
O 0.8151 0.8183 0.5000
O 0.3151 0.1817 0.0000
P 0.9989 0.1758 0.0000
P 0.4989 0.8242 0.5000

Entry x
A plane-wave DFT calculation with PBE was carried out for Li3PO4 after structural relaxation.

Summary:
DOS at the Fermi energy: 0.0 states/eV/f.u.
Space group: No. 62
Mass density: 2.34 g cm⁻³
Total moment: 0.00 μB/cell

Unit cell a=5.0395 b=6.1374 c=10.6186 alpha=90.00 beta=90.00 gamma=90.00
Sites, in units of the cell vectors:
Li 0.3054 0.4867 0.1639
Li 0.1946 0.5133 0.6639
Li 0.6946 0.9867 0.8361
Li 0.8054 0.0133 0.3361
Li 0.6946 0.5133 0.8361
Li 0.8054 0.4867 0.3361
Li 0.3054 0.0133 0.1639
Li 0.1946 0.9867 0.6639
Li 0.1973 0.7500 0.4245
Li 0.3027 0.2500 0.9245
Li 0.8027 0.2500 0.5755
Li 0.6973 0.7500 0.0755
O 0.2082 0.0426 0.3454
O 0.2918 0.9574 0.8454
O 0.7918 0.5426 0.6546
O 0.7082 0.4574 0.1546
O 0.7918 0.9574 0.6546
O 0.7082 0.0426 0.1546
O 0.2082 0.4574 0.3454
O 0.2918 0.5426 0.8454
O 0.1175 0.2500 0.0816
O 0.3825 0.7500 0.5816
O 0.8825 0.7500 0.9184
O 0.6175 0.2500 0.4184
O 0.2977 0.7500 0.0541
O 0.2023 0.2500 0.5541
O 0.7023 0.2500 0.9459
O 0.7977 0.7500 0.4459
P 0.3091 0.2500 0.4162
P 0.1909 0.7500 0.9162
P 0.6909 0.7500 0.5838
P 0.8091 0.2500 0.0838

Entry y
A plane-wave DFT calculation with PBE was carried out for Li3PO4 after structural relaxation.

Summary:
DOS at the Fermi energy: 0.0 states/eV/f.u.
Space group: No. 215
Mass density: 2.41 g cm⁻³
Total moment: 0.00 μB/cell

Unit cell a=4.3052 b=4.3052 c=4.3052 alpha=90.00 beta=90.00 gamma=90.00
Sites, in units of the cell vectors:
P 0.0000 0.0000 0.0000
O 0.2096 0.7904 0.7904
O 0.7904 0.7904 0.2096
O 0.7904 0.2096 0.7904
O 0.2096 0.2096 0.2096
Li 0.0000 0.5000 0.5000
Li 0.5000 0.5000 0.0000
Li 0.5000 0.0000 0.5000

Relative to the most stable one, in eV/atom, the structures come out at entry w 0.000; entry x 0.017; entry y 0.049.

Entry w
A plane-wave DFT calculation with PBE was carried out for LiPr2Zn2P2O2 after structural relaxation.

Summary:
DOS at the Fermi energy: 2.3 states/eV/f.u.
Space group: No. 8
Mass density: 5.44 g cm⁻³
Total moment: 0.00 μB/cell

Unit cell a=4.0255 b=4.0255 c=11.4188 alpha=79.62 beta=79.62 gamma=59.94
Sites, in units of the cell vectors:
Li 0.6017 0.6017 0.3337
Pr 0.7705 0.7705 0.8378
Pr 0.3449 0.3449 0.1099
Zn 0.5234 0.5234 0.5833
Zn 0.2353 0.2353 0.4293
P 0.9444 0.9444 0.3048
P 0.1690 0.1690 0.6479
O 0.6970 0.6970 0.0534
O 0.4184 0.4184 0.8937

Entry x
A plane-wave DFT calculation with PBE was carried out for LiPr2Zn2P2O2 after structural relaxation.

Summary:
DOS at the Fermi energy: 4.2 states/eV/f.u.
Space group: No. 166
Mass density: 5.72 g cm⁻³
Total moment: 0.54 μB/cell

Unit cell a=10.9186 b=10.9186 c=10.9186 alpha=21.20 beta=21.20 gamma=21.20
Site moments in Bohr magnetons follow the coordinates.
Sites, in units of the cell vectors:
Li 0.0000 0.0000 0.0000  0.03
Pr 0.3901 0.3901 0.3901  0.09
Pr 0.6099 0.6099 0.6099  0.09
Zn 0.8041 0.8041 0.8041  0.01
Zn 0.1959 0.1959 0.1959  0.01
P 0.8829 0.8829 0.8829  0.00
P 0.1171 0.1171 0.1171  0.00
O 0.3074 0.3074 0.3074  0.01
O 0.6926 0.6926 0.6926  0.01

Relative to the most stable one, in eV/atom, the structures come out at entry w 0.000; entry x 0.155.

Entry w
A plane-wave DFT calculation with PBE was carried out for RbLiP2O after structural relaxation.

Summary:
DOS at the Fermi energy: 3.6 states/eV/f.u.
Space group: No. 123
Mass density: 1.47 g cm⁻³
Total moment: 4.86 μB/cell

Unit cell a=6.3456 b=6.3456 c=4.7890 alpha=90.00 beta=90.00 gamma=90.00
Site moments in Bohr magnetons follow the coordinates.
Sites, in units of the cell vectors:
P 0.0000 0.5000 0.0000  1.01
P 0.5000 0.0000 0.0000  1.01
O 0.0000 0.0000 0.5000  -0.03
Rb 0.0000 0.0000 0.0000  0.02
Li 0.5000 0.5000 0.5000  -0.01

Entry x
A plane-wave DFT calculation with PBE was carried out for RbLiP2O after structural relaxation.

Summary:
DOS at the Fermi energy: 3.8 states/eV/f.u.
Space group: No. 123
Mass density: 2.95 g cm⁻³
Total moment: 0.59 μB/cell

Unit cell a=4.4875 b=4.4875 c=4.7547 alpha=90.00 beta=90.00 gamma=90.00
Site moments in Bohr magnetons follow the coordinates.
Sites, in units of the cell vectors:
P 0.0000 0.5000 0.0000  0.12
P 0.5000 0.0000 0.0000  0.12
O 0.0000 0.0000 0.5000  0.03
Rb 0.5000 0.5000 0.5000  0.01
Li 0.0000 0.0000 0.0000  -0.01

Relative to the most stable one, in eV/atom, the structures come out at entry w 0.838; entry x 0.000.

Entry w
A plane-wave DFT calculation with PBE was carried out for RbLiPO2 after structural relaxation.

Summary:
DOS at the Fermi energy: 2.9 states/eV/f.u.
Space group: No. 123
Mass density: 1.61 g cm⁻³
Total moment: 5.00 μB/cell

Unit cell a=5.0201 b=5.0201 c=6.3494 alpha=90.00 beta=90.00 gamma=90.00
Site moments in Bohr magnetons follow the coordinates.
Sites, in units of the cell vectors:
P 0.0000 0.0000 0.5000  0.97
O 0.0000 0.5000 0.0000  1.04
O 0.5000 0.0000 0.0000  1.04
Rb 0.0000 0.0000 0.0000  0.11
Li 0.5000 0.5000 0.5000  0.00

Entry x
A plane-wave DFT calculation with PBE was carried out for RbLiPO2 after structural relaxation.

Summary:
DOS at the Fermi energy: 4.0 states/eV/f.u.
Space group: No. 123
Mass density: 3.18 g cm⁻³
Total moment: 0.95 μB/cell

Unit cell a=4.3079 b=4.3079 c=4.3685 alpha=90.00 beta=90.00 gamma=90.00
Site moments in Bohr magnetons follow the coordinates.
Sites, in units of the cell vectors:
P 0.0000 0.0000 0.5000  -0.05
O 0.0000 0.5000 0.0000  0.45
O 0.5000 0.0000 0.0000  0.45
Rb 0.5000 0.5000 0.5000  -0.01
Li 0.0000 0.0000 0.0000  0.00

Relative to the most stable one, in eV/atom, the structures come out at entry w 0.629; entry x 0.000.

Entry w
A plane-wave DFT calculation with PBE was carried out for LiPS2O after structural relaxation.

Summary:
DOS at the Fermi energy: 1.5 states/eV/f.u.
Space group: No. 123
Mass density: 2.43 g cm⁻³
Total moment: 0.00 μB/cell

Unit cell a=4.7267 b=4.7267 c=3.6113 alpha=90.00 beta=90.00 gamma=90.00
Sites, in units of the cell vectors:
P 0.0000 0.0000 0.5000
S 0.0000 0.5000 0.0000
S 0.5000 0.0000 0.0000
O 0.0000 0.0000 0.0000
Li 0.5000 0.5000 0.5000

Entry x
A plane-wave DFT calculation with PBE was carried out for LiPS2O after structural relaxation.

Summary:
DOS at the Fermi energy: 5.9 states/eV/f.u.
Space group: No. 123
Mass density: 2.50 g cm⁻³
Total moment: 0.00 μB/cell

Unit cell a=4.0046 b=4.0046 c=4.8800 alpha=90.00 beta=90.00 gamma=90.00
Sites, in units of the cell vectors:
P 0.0000 0.0000 0.5000
S 0.0000 0.5000 0.0000
S 0.5000 0.0000 0.0000
O 0.5000 0.5000 0.5000
Li 0.0000 0.0000 0.0000

Relative to the most stable one, in eV/atom, the structures come out at entry w 0.000; entry x 0.825.

Entry w
A plane-wave DFT calculation with PBE was carried out for LiP2SO after structural relaxation.

Summary:
DOS at the Fermi energy: 2.9 states/eV/f.u.
Space group: No. 123
Mass density: 2.86 g cm⁻³
Total moment: 0.00 μB/cell

Unit cell a=4.5135 b=4.5135 c=3.3331 alpha=90.00 beta=90.00 gamma=90.00
Sites, in units of the cell vectors:
P 0.0000 0.5000 0.0000
P 0.5000 0.0000 0.0000
S 0.5000 0.5000 0.5000
O 0.0000 0.0000 0.5000
Li 0.0000 0.0000 0.0000

Entry x
A plane-wave DFT calculation with PBE was carried out for LiP2SO after structural relaxation.

Summary:
DOS at the Fermi energy: 2.6 states/eV/f.u.
Space group: No. 123
Mass density: 2.49 g cm⁻³
Total moment: 0.00 μB/cell

Unit cell a=4.8091 b=4.8091 c=3.3695 alpha=90.00 beta=90.00 gamma=90.00
Sites, in units of the cell vectors:
P 0.0000 0.5000 0.0000
P 0.5000 0.0000 0.0000
S 0.0000 0.0000 0.0000
O 0.0000 0.0000 0.5000
Li 0.5000 0.5000 0.5000

Entry y
A plane-wave DFT calculation with PBE was carried out for LiP2SO after structural relaxation.

Summary:
DOS at the Fermi energy: 3.7 states/eV/f.u.
Space group: No. 123
Mass density: 2.52 g cm⁻³
Total moment: 1.43 μB/cell

Unit cell a=4.2984 b=4.2984 c=4.1779 alpha=90.00 beta=90.00 gamma=90.00
Site moments in Bohr magnetons follow the coordinates.
Sites, in units of the cell vectors:
P 0.0000 0.5000 0.0000  0.03
P 0.5000 0.0000 0.0000  0.03
S 0.0000 0.0000 0.5000  0.16
O 0.5000 0.5000 0.5000  0.94
Li 0.0000 0.0000 0.0000  0.00

Relative to the most stable one, in eV/atom, the structures come out at entry w 0.257; entry x 0.000; entry y 0.820.